Record 1
DFT (PBE) results for YHf2Bi2 after structural relaxation.

magnetization: 0.00 μB/f.u.
crystal system: tetragonal
space-group type: No. 127
formation energy from the elements: -98 kJ/mol of formula units

Lattice parameters (Å, degrees): 8.1773 8.1773 3.8440 90.00 90.00 90.00
With the nearest neighbours (Å) after each atom.
Element x y z (fractional)
Y 0.5000 0.5000 0.0000  4 Bi 3.12
Hf 0.1449 0.6449 0.5000  6 Bi 3.07, 1 Hf 3.35
Bi 0.1476 0.3524 0.0000  6 Hf 3.07, 2 Y 3.12, 1 Bi 3.41
Bi 0.8524 0.6476 0.0000  6 Hf 3.07, 2 Y 3.12, 1 Bi 3.41
Hf 0.6449 0.8551 0.5000  6 Bi 3.07, 1 Hf 3.35
Bi 0.3524 0.8524 0.0000  6 Hf 3.07, 2 Y 3.12, 1 Bi 3.41
Hf 0.3551 0.1449 0.5000  6 Bi 3.07, 1 Hf 3.35
Hf 0.8551 0.3551 0.5000  6 Bi 3.07, 1 Hf 3.35
Y 0.0000 0.0000 0.0000  4 Bi 3.12
Bi 0.6476 0.1476 0.0000  6 Hf 3.07, 2 Y 3.12, 1 Bi 3.41



Record 2
DFT (PBE) results for Fe2AsRu after structural relaxation.

magnetization: 3.42 μB/f.u.
crystal system: trigonal
space-group type: No. 166
formation energy from the elements: 92 kJ/mol of formula units

Lattice parameters (Å, degrees): 8.1727 8.1727 8.1727 19.28 19.28 19.28
With the nearest neighbours (Å) after each atom.
Element x y z (fractional)
Ru 0.2500 0.2500 0.2500  6 Fe 2.60, 6 Ru 2.74
As 0.7500 0.7500 0.7500  6 Fe 2.51, 6 As 2.74
Fe 0.4977 0.4977 0.4977  3 As 2.51, 3 Ru 2.60, 6 Fe 2.74
Fe 0.0023 0.0023 0.0023  3 As 2.51, 3 Ru 2.60, 6 Fe 2.74